#one
Computed, not measured: a relaxed Nd6CdIn5 crystal at the PBE-GGA level of DFT.

As for the space group: No. 12. The calculated density comes out at 6.82 g cm⁻³. For the density of states at the Fermi level, the calculation gives 8.494 states/eV/f.u.

```
data_Nd6CdIn5
_chemical_formula_sum 'Nd6 Cd1 In5'
_cell_length_a 10.053
_cell_length_b 6.646
_cell_length_c 6.676
_cell_angle_alpha 60.15
_cell_angle_beta 83.85
_cell_angle_gamma 77.56
_symmetry_space_group_name_H-M 'P 1'
_symmetry_Int_Tables_number 1
loop_
_symmetry_equiv_pos_as_xyz
'x,y,z'
loop_
_atom_site_label
_atom_site_type_symbol
_atom_site_fract_x
_atom_site_fract_y
_atom_site_fract_z
In1 In 0.500 0.147 0.706
Nd1 Nd 0.741 0.429 0.663
Cd1 Cd 0.000 0.000 0.000
Nd2 Nd 0.741 0.092 0.337
In2 In 0.000 0.689 0.623
In3 In 0.500 0.853 0.294
Nd3 Nd 0.233 0.265 0.000
Nd4 Nd 0.259 0.908 0.663
Nd5 Nd 0.259 0.571 0.337
In4 In 0.000 0.311 0.377
Nd6 Nd 0.767 0.735 0.000
In5 In 0.500 0.500 0.000
```

---

#two
Computed, not measured: a relaxed Nd6CdIn5 crystal at the PBE-GGA level of DFT.

As for the space group: No. 71. The calculated density comes out at 7.38 g cm⁻³. For the density of states at the Fermi level, the calculation gives 8.754 states/eV/f.u.

```
data_Nd6CdIn5
_chemical_formula_sum 'Nd6 Cd1 In5'
_cell_length_a 5.485
_cell_length_b 9.492
_cell_length_c 9.492
_cell_angle_alpha 120.05
_cell_angle_beta 106.78
_cell_angle_gamma 106.78
_symmetry_space_group_name_H-M 'P 1'
_symmetry_Int_Tables_number 1
loop_
_symmetry_equiv_pos_as_xyz
'x,y,z'
loop_
_atom_site_label
_atom_site_type_symbol
_atom_site_fract_x
_atom_site_fract_y
_atom_site_fract_z
In1 In 0.500 0.500 0.500
In2 In 0.000 0.666 0.334
Nd1 Nd 0.751 0.584 0.917
In3 In 0.000 0.334 0.666
Nd2 Nd 0.749 0.249 0.249
Nd3 Nd 0.251 0.751 0.751
Cd1 Cd 0.000 0.000 0.000
In4 In 0.500 0.164 0.836
Nd4 Nd 0.751 0.917 0.584
Nd5 Nd 0.249 0.083 0.416
Nd6 Nd 0.249 0.416 0.083
In5 In 0.500 0.836 0.164
```

---

Ordering by calculated energy gives the sequence #two, #one, with the first entry being the most stable.